Material: Sm6NiAg3
Method: DFT, PBE
State: relaxed

Cell and atoms, written as POSCAR:
```
Sm6NiAg3
1.0
-0.3048 -7.0847 -1.9837
2.5975 1.8790 -7.1099
9.4705 -2.9669 2.6759
Sm Ni Ag
12 2 6
direct
0.3638 0.8096 0.4299 Sm
0.6684 0.4569 0.2510 Sm
0.8638 0.6904 0.9299 Sm
0.6362 0.1904 0.5701 Sm
0.1362 0.3096 0.0701 Sm
0.3316 0.5431 0.7490 Sm
0.8316 0.9569 0.2490 Sm
0.8102 0.6621 0.5582 Sm
0.1684 0.0431 0.7510 Sm
0.3102 0.8379 0.0582 Sm
0.6898 0.1621 0.9418 Sm
0.1898 0.3379 0.4418 Sm
0.5000 0.5000 0.5000 Ni
0.0000 0.0000 0.0000 Ni
0.5000 0.5000 0.0000 Ag
0.4449 0.1184 0.2328 Ag
0.9449 0.3816 0.7328 Ag
0.0551 0.6184 0.2672 Ag
0.0000 0.0000 0.5000 Ag
0.5551 0.8816 0.7672 Ag
```

energy = -4.370 eV per atom
DFT formation energy = -1.05 eV/f.u.
N(E_F) = 1.28 states/eV per atom

=====

Material: Sm3Ni2Ag
Method: DFT, PBE
State: relaxed

Cell and atoms, written as POSCAR:
```
Sm3Ni2Ag
1.0
-0.2904 3.7753 1.7195
0.3015 -2.9815 6.5969
9.2382 0.7487 -0.0838
Ni Ag Sm
4 2 6
direct
0.0000 0.9778 0.2782 Ni
0.5000 0.5497 0.5639 Ni
0.5000 0.0497 0.4361 Ni
0.0000 0.4778 0.7218 Ni
0.0000 0.4528 0.0237 Ag
0.0000 0.9528 0.9763 Ag
0.5000 0.2075 0.7523 Sm
0.5000 0.7075 0.2477 Sm
0.5000 0.1832 0.1445 Sm
0.5000 0.6832 0.8555 Sm
0.0000 0.3303 0.4390 Sm
0.0000 0.8303 0.5610 Sm
```

energy = -5.041 eV per atom
DFT formation energy = -1.68 eV/f.u.
N(E_F) = 0.88 states/eV per atom

=====

Material: Sm2NiAg
Method: DFT, PBE
State: relaxed

Cell and atoms, written as POSCAR:
```
Sm2NiAg
1.0
3.5450 0.0000 0.0000
0.0000 3.5450 0.0000
0.0000 0.0000 7.3403
Ag Sm Ni
1 2 1
direct
0.5000 0.5000 0.5000 Ag
0.0000 0.0000 0.7736 Sm
0.0000 0.0000 0.2264 Sm
0.5000 0.5000 0.0000 Ni
```

energy = -4.795 eV per atom
DFT formation energy = -1.11 eV/f.u.
N(E_F) = 1.06 states/eV per atom

=====

Material: Sm8Ni2Ag
Method: DFT, PBE
State: relaxed

Cell and atoms, written as POSCAR:
```
Sm8Ni2Ag
1.0
-1.0086 -4.0091 3.8664
-1.6475 -4.2581 -6.4773
7.7093 1.0716 1.4900
Sm Ni Ag
8 2 1
direct
0.4183 0.6674 0.9210 Sm
0.1898 0.3885 0.3885 Sm
0.4183 0.9210 0.6674 Sm
0.8097 0.6173 0.6173 Sm
0.0000 0.7632 0.2435 Sm
0.5817 0.3391 0.0853 Sm
0.0000 0.2435 0.7632 Sm
0.5817 0.0853 0.3391 Sm
0.4995 0.3008 0.7049 Ni
0.4995 0.7049 0.3008 Ni
0.0012 0.0028 0.0028 Ag
```

energy = -4.809 eV per atom
DFT formation energy = -0.73 eV/f.u.
N(E_F) = 1.26 states/eV per atom